Record 1
5
Lattice="-3.269 0.455 3.513 -1.602 -4.453 -0.914 3.079 -1.743 3.092" Properties=species:S:1:pos:R:3 comment="AgP2SO (PBE, optimized geometry)" formation_energy_uncorrected_ev_per_atom=1.72 m_tot_mub_per_cell=0.061 crystal_system=tetragonal total_energy_ev_per_atom=-2.8315 pbc="T T T"
P -0.801 -2.227 -0.457
P -1.635 0.227 1.756
S 1.540 -0.871 1.546
O -0.896 -2.871 2.845
Ag 0.000 0.000 0.000

=====

Record 2
4
Lattice="3.231 0.000 0.000 0.000 3.232 0.000 0.000 0.000 7.661" Properties=species:S:1:pos:R:3 comment="Mn2TlIn (PBE, optimized geometry)" m_tot_mub_per_cell=7.056 crystal_system=tetragonal formation_energy_ev_per_atom=0.4003 total_energy_ev_per_atom=-5.4606 pbc="T T T"
In 1.616 1.616 6.158
Mn 0.000 0.000 0.167
Mn 1.616 1.616 1.629
Tl 0.000 0.000 3.538

=====

One value per record, in order, for calculated volume: 109, 80 Å³/cell.